No. 1
A geometry-optimized BaAcCd4 structure, computed with PBE-GGA.

Calculated values
**Space-group type**: I-4m2, No. 119
**Total energy**: -1.88 eV/atom
**DFT formation energy**: -0.2669 eV per atom

Unit cell a=4.746 b=4.746 c=9.512 alpha=104.45 beta=104.45 gamma=90.00
Positions (direct):
Ba (0.250, 0.750, 0.500)
Ac (0.000, 0.000, 0.000)
Cd (0.666, 0.166, 0.332)
Cd (0.580, 0.580, 0.160)
Cd (0.834, 0.334, 0.668)
Cd (0.420, 0.420, 0.840)

=====

No. 2
A geometry-optimized Ba2AcCd structure, computed with PBE-GGA.

Calculated values
**Space-group type**: R3m, No. 160
**ΔE to the lowest computed polymorph**: 81 meV per atom
**Total energy**: -2.22 eV/atom
**DFT formation energy**: 0.0017 eV per atom

Unit cell a=4.228 b=4.228 c=12.427 alpha=80.21 beta=80.21 gamma=60.00
Positions (direct):
Ba (0.074, 0.074, 0.779)
Ba (0.260, 0.260, 0.220)
Ac (0.500, 0.500, 0.501)
Cd (0.667, 0.667, 0.000)

=====

No. 3
A geometry-optimized BaAcCd6 structure, computed with PBE-GGA.

Calculated values
**Space-group type**: Amm2, No. 38
**ΔE to the lowest computed polymorph**: 14 meV per atom
**Total energy**: -1.69 eV/atom
**DFT formation energy**: -0.2461 eV per atom

Unit cell a=5.121 b=7.261 c=7.261 alpha=117.96 beta=90.00 gamma=90.00
Positions (direct):
Ba (0.500, 0.407, 0.593)
Ac (0.000, 0.093, 0.907)
Cd (0.000, 0.031, 0.380)
Cd (0.000, 0.620, 0.969)
Cd (0.000, 0.602, 0.398)
Cd (0.500, 0.459, 0.117)
Cd (0.500, 0.883, 0.541)
Cd (0.500, 0.905, 0.095)

=====

No. 4
A geometry-optimized BaAc2Cd structure, computed with PBE-GGA.

Calculated values
**Space-group type**: R3m, No. 160
**ΔE to the lowest computed polymorph**: 90 meV per atom
**Total energy**: -2.77 eV/atom
**DFT formation energy**: -0.0039 eV per atom

Unit cell a=4.099 b=4.099 c=12.390 alpha=80.48 beta=80.48 gamma=60.00
Positions (direct):
Ba (0.500, 0.500, 0.501)
Ac (0.069, 0.069, 0.792)
Ac (0.264, 0.264, 0.207)
Cd (0.667, 0.667, 0.000)

=====

No. 5
A geometry-optimized Ba2AcCd structure, computed with PBE-GGA.

Calculated values
**Space-group type**: R-3m, No. 166
**ΔE to the lowest computed polymorph**: 283 meV per atom
**Total energy**: -2.01 eV/atom
**DFT formation energy**: 0.2043 eV per atom

Unit cell a=4.096 b=4.096 c=14.121 alpha=81.66 beta=81.66 gamma=60.00
Positions (direct):
Ac (0.500, 0.500, 0.500)
Ba (0.085, 0.085, 0.744)
Ba (0.915, 0.915, 0.256)
Cd (0.000, 0.000, 0.000)

=====

No. 6
A geometry-optimized Ba2AcCd structure, computed with PBE-GGA.

Calculated values
**Space-group type**: Fm-3m, No. 225
**ΔE to the lowest computed polymorph**: 177 meV per atom
**Total energy**: -2.12 eV/atom
**DFT formation energy**: 0.0978 eV per atom

Unit cell a=6.334 b=6.334 c=6.334 alpha=60.00 beta=60.00 gamma=60.00
Positions (direct):
Ac (0.000, 0.000, 0.000)
Ba (0.250, 0.250, 0.250)
Ba (0.750, 0.750, 0.750)
Cd (0.500, 0.500, 0.500)

=====

No. 7
A geometry-optimized BaAc2Cd structure, computed with PBE-GGA.

Calculated values
**Space-group type**: R-3m, No. 166
**ΔE to the lowest computed polymorph**: 198 meV per atom
**Total energy**: -2.66 eV/atom
**DFT formation energy**: 0.1048 eV per atom

Unit cell a=3.982 b=3.982 c=13.214 alpha=81.33 beta=81.33 gamma=60.00
Positions (direct):
Ac (0.101, 0.101, 0.698)
Ac (0.899, 0.899, 0.302)
Ba (0.000, 0.000, 0.000)
Cd (0.500, 0.500, 0.500)

=====

No. 8
A geometry-optimized Ba2Ac3Cd2 structure, computed with PBE-GGA.

Calculated values
**Space-group type**: Cmmm, No. 65
**Total energy**: -2.73 eV/atom
**DFT formation energy**: -0.1585 eV per atom

Unit cell a=4.145 b=4.101 c=17.833 alpha=90.00 beta=96.67 gamma=90.00
Positions (direct):
Ba (0.307, 0.500, 0.614)
Ba (0.693, 0.500, 0.386)
Ac (0.423, 0.500, 0.847)
Ac (0.577, 0.500, 0.153)
Ac (0.000, 0.000, 0.000)
Cd (0.132, 0.000, 0.263)
Cd (0.868, 0.000, 0.737)

=====

No. 9
A geometry-optimized BaAcCd4 structure, computed with PBE-GGA.

Calculated values
**Space-group type**: F-43m, No. 216
**Total energy**: -1.88 eV/atom
**DFT formation energy**: -0.2665 eV per atom

Unit cell a=6.316 b=6.316 c=6.316 alpha=60.00 beta=60.00 gamma=60.00
Positions (direct):
Ac (0.250, 0.250, 0.250)
Ba (0.000, 0.000, 0.000)
Cd (0.625, 0.625, 0.126)
Cd (0.625, 0.126, 0.625)
Cd (0.625, 0.625, 0.625)
Cd (0.126, 0.625, 0.625)

=====

No. 10
A geometry-optimized BaAc5Cd6 structure, computed with PBE-GGA.

Calculated values
**Space-group type**: Cmmm, No. 65
**Total energy**: -2.62 eV/atom
**DFT formation energy**: -0.2926 eV per atom

Unit cell a=5.791 b=8.214 c=9.175 alpha=90.00 beta=71.60 gamma=90.00
Positions (direct):
Ac (0.665, 0.500, 0.671)
Ac (0.334, 0.000, 0.333)
Ac (0.000, 0.500, 0.000)
Ac (0.666, 0.000, 0.667)
Ac (0.335, 0.500, 0.329)
Ba (0.000, 0.000, 0.000)
Cd (0.829, 0.745, 0.342)
Cd (0.829, 0.255, 0.342)
Cd (0.500, 0.257, 0.000)
Cd (0.500, 0.743, 0.000)
Cd (0.171, 0.745, 0.658)
Cd (0.171, 0.255, 0.658)

=====

No. 11
A geometry-optimized BaAcCd6 structure, computed with PBE-GGA.

Calculated values
**Space-group type**: Pmm2, No. 25
**ΔE to the lowest computed polymorph**: 0 meV per atom
**Total energy**: -1.70 eV/atom
**DFT formation energy**: -0.2599 eV per atom

Unit cell a=5.011 b=6.696 c=7.081 alpha=90.00 beta=90.00 gamma=90.00
Positions (direct):
Ba (0.000, 0.615, 0.000)
Ac (0.500, 0.389, 0.500)
Cd (0.500, 0.870, 0.277)
Cd (0.000, 0.141, 0.753)
Cd (0.000, 0.141, 0.247)
Cd (0.500, 0.870, 0.723)
Cd (0.000, 0.760, 0.500)
Cd (0.500, 0.214, 0.000)

=====

No. 12
A geometry-optimized Ba2AcCd structure, computed with PBE-GGA.

Calculated values
**Space-group type**: P4/mmm, No. 123
**ΔE to the lowest computed polymorph**: 115 meV per atom
**Total energy**: -2.18 eV/atom
**DFT formation energy**: 0.0359 eV per atom

Unit cell a=4.401 b=6.400 c=6.400 alpha=90.00 beta=90.00 gamma=90.00
Positions (direct):
Ac (0.500, 0.000, 0.000)
Ba (0.000, 0.000, 0.500)
Ba (0.000, 0.500, 0.000)
Cd (0.500, 0.500, 0.500)

=====

No. 13
A geometry-optimized BaAcCdCu structure, computed with PBE-GGA.

Calculated values
**Space-group type**: F-43m, No. 216
**Total energy**: -2.84 eV/atom
**DFT formation energy**: -0.0816 eV per atom

Unit cell a=5.699 b=5.699 c=5.699 alpha=60.00 beta=60.00 gamma=60.00
Positions (direct):
Ac (0.500, 0.500, 0.500)
Ba (0.000, 0.000, 0.000)
Cu (0.250, 0.250, 0.250)
Cd (0.750, 0.750, 0.750)

=====

No. 14
A geometry-optimized BaAc2Cd2Ge2 structure, computed with PBE-GGA.

Calculated values
**Space-group type**: R-3m, No. 166
**Total energy**: -3.37 eV/atom
**DFT formation energy**: -0.3381 eV per atom

Unit cell a=4.596 b=4.596 c=13.308 alpha=80.06 beta=80.06 gamma=60.00
Last column: magnetic moment on the atom in μB.
Positions (direct):
Ba (0.000, 0.000, 0.000)  0.05
Ac (0.123, 0.123, 0.631)  0.07
Ac (0.877, 0.877, 0.369)  0.07
Cd (0.606, 0.606, 0.183)  0.03
Cd (0.394, 0.394, 0.817)  0.03
Ge (0.742, 0.742, 0.774)  -0.01
Ge (0.258, 0.258, 0.226)  -0.01

=====

No. 15
A geometry-optimized BaAcCdHg structure, computed with PBE-GGA.

Calculated values
**Space-group type**: P4mm, No. 99
**ΔE to the lowest computed polymorph**: 0 meV per atom
**Total energy**: -2.22 eV/atom
**DFT formation energy**: -0.4096 eV per atom

Unit cell a=4.127 b=4.127 c=8.374 alpha=90.00 beta=90.00 gamma=90.00
Positions (direct):
Ba (0.500, 0.500, 0.104)
Ac (0.500, 0.500, 0.611)
Cd (0.000, 0.000, 0.376)
Hg (0.000, 0.000, 0.836)

=====

No. 16
A geometry-optimized BaAcCdHg structure, computed with PBE-GGA.

Calculated values
**Space-group type**: F-43m, No. 216
**ΔE to the lowest computed polymorph**: 25 meV per atom
**Total energy**: -2.20 eV/atom
**DFT formation energy**: -0.3843 eV per atom

Unit cell a=5.847 b=5.847 c=5.847 alpha=60.00 beta=60.00 gamma=60.00
Positions (direct):
Ac (0.500, 0.500, 0.500)
Cd (0.750, 0.750, 0.750)
Hg (0.250, 0.250, 0.250)
Ba (0.000, 0.000, 0.000)

=====

No. 17
A geometry-optimized Ba2AcCd3Hg12 structure, computed with PBE-GGA.

Calculated values
**Space-group type**: R-3m, No. 166
**Total energy**: -0.95 eV/atom
**DFT formation energy**: -0.1564 eV per atom

Unit cell a=13.124 b=13.124 c=13.124 alpha=32.44 beta=32.44 gamma=32.44
Positions (direct):
Ba (0.634, 0.634, 0.634)
Ba (0.366, 0.366, 0.366)
Ac (0.000, 0.000, 0.000)
Cd (0.500, 0.000, 0.000)
Cd (0.000, 0.500, 0.000)
Cd (0.000, 0.000, 0.500)
Hg (0.409, 0.409, 0.833)
Hg (0.874, 0.874, 0.430)
Hg (0.430, 0.874, 0.874)
Hg (0.833, 0.409, 0.409)
Hg (0.874, 0.430, 0.874)
Hg (0.409, 0.833, 0.409)
Hg (0.591, 0.591, 0.167)
Hg (0.126, 0.126, 0.570)
Hg (0.570, 0.126, 0.126)
Hg (0.167, 0.591, 0.591)
Hg (0.126, 0.570, 0.126)
Hg (0.591, 0.167, 0.591)

=====

No. 18
A geometry-optimized BaAcCdIn structure, computed with PBE-GGA.

Calculated values
**Space-group type**: P4mm, No. 99
**ΔE to the lowest computed polymorph**: 0 meV per atom
**Total energy**: -2.78 eV/atom
**DFT formation energy**: -0.3634 eV per atom

Unit cell a=4.156 b=4.156 c=8.471 alpha=90.00 beta=90.00 gamma=90.00
Positions (direct):
Ba (0.500, 0.500, 0.606)
Ac (0.500, 0.500, 0.107)
Cd (0.000, 0.000, 0.880)
In (0.000, 0.000, 0.335)

=====

No. 19
A geometry-optimized BaAc2Cd2In2 structure, computed with PBE-GGA.

Calculated values
**Space-group type**: R-3m, No. 166
**Total energy**: -2.79 eV/atom
**DFT formation energy**: -0.2973 eV per atom

Unit cell a=5.196 b=5.196 c=10.961 alpha=76.29 beta=76.29 gamma=60.00
Positions (direct):
Ba (0.000, 0.000, 0.000)
Ac (0.129, 0.129, 0.612)
Ac (0.871, 0.871, 0.388)
Cd (0.591, 0.591, 0.226)
Cd (0.409, 0.409, 0.774)
In (0.745, 0.745, 0.764)
In (0.255, 0.255, 0.236)

=====

No. 20
A geometry-optimized BaAcCdIn structure, computed with PBE-GGA.

Calculated values
**Space-group type**: F-43m, No. 216
**ΔE to the lowest computed polymorph**: 23 meV per atom
**Total energy**: -2.76 eV/atom
**DFT formation energy**: -0.3408 eV per atom

Unit cell a=5.905 b=5.905 c=5.905 alpha=60.00 beta=60.00 gamma=60.00
Positions (direct):
Ac (0.500, 0.500, 0.500)
Cd (0.750, 0.750, 0.750)
Ba (0.000, 0.000, 0.000)
In (0.250, 0.250, 0.250)